DFT (PBE) results for Rb2SrLiBr6 after structural relaxation.

Cell lengths 11.3604, 11.3604, 11.3604 Å; angles 90.00, 90.00, 90.00 degrees
Last column: nearest neighbours and their distance in Å.
Space group Fm-3m (No. 225)
Inequivalent atoms, fractional coordinates:
Rb (0.2500, 0.2500, 0.2500) x8  12 Br 4.02
Sr (0.0000, 0.0000, 0.0000) x4  6 Br 2.99
Li (0.0000, 0.0000, 0.5000) x4  6 Br 2.69
Br (0.0000, 0.0000, 0.2633) x24  1 Li 2.69, 1 Sr 2.99

Output
E_tot = -123.8 eV/cell
Spin magnetization = 0.00 Bohr magnetons per cell
Raw formation energy = -35.48 kcal/mol of atoms